# TaNi15Sn4 | Alexandria via LeMat-Bulk | PBE | relaxed
# - total magnetic moment (μB/cell) = 0.00
# - energy relative to the elements (eV per atom) = -0.228
data_TaNi15Sn4
_chemical_formula_sum 'Ta1 Ni15 Sn4'
_cell_length_a 3.7235
_cell_length_b 3.7235
_cell_length_c 18.5733
_cell_angle_alpha 90.00
_cell_angle_beta 90.00
_cell_angle_gamma 90.00
_space_group_name_H-M_alt 'P 4/m m m'
_space_group_IT_number 123
_space_group_name_Hall '-P 4 2'
loop_
_atom_site_label
_atom_site_fract_x
_atom_site_fract_y
_atom_site_fract_z
Ta1 0.0000 0.0000 0.0000
Ni1 0.0000 0.5000 0.0952
Ni2 0.0000 0.5000 0.2984
Ni3 0.0000 0.5000 0.5000
Ni4 0.5000 0.5000 0.0000
Ni5 0.5000 0.5000 0.1967
Ni6 0.5000 0.5000 0.3989
Sn1 0.0000 0.0000 0.1992
Sn2 0.0000 0.0000 0.3997